Computed, not measured: a relaxed CsGe4Au5 crystal at the PBE-GGA level of DFT.

* DFT formation energy: 0.085 eV per atom

Geometry as CIF:
```
data_CsGe4Au5
_cell_length_a 7.831
_cell_length_b 8.240
_cell_length_c 8.980
_cell_angle_alpha 90.00
_cell_angle_beta 90.00
_cell_angle_gamma 90.00
_space_group_name_H-M_alt 'P m m n'
_space_group_IT_number 59
loop_
_space_group_symop_operation_xyz
'x,y,z'
'-x,-y,-z'
'-x+1/2,-y+1/2,z'
'x+1/2,y+1/2,-z'
'x+1/2,-y,-z'
'-x+1/2,y,z'
'-x,y+1/2,-z'
'x,-y+1/2,z'
loop_
_atom_site_label
_atom_site_fract_x
_atom_site_fract_y
_atom_site_fract_z
_atom_site_occupancy
Cs1 0.250 0.250 0.011 1
Ge1 0.071 0.250 0.617 1
Ge2 0.250 0.045 0.404 1
Au1 0.073 0.581 0.666 1
Au2 0.250 0.750 0.304 1
```